Record 1
Material: K2AlP
Method: DFT, GGA-PBE
State: relaxed

Summary:
The crystal system is cubic. As for the space group: Fm-3m. Its formation energy from the elements is 6.7 kcal/mol of atoms. The calculation puts the energy above the most stable polymorph in this dataset at 528 meV per atom. For the theoretical density, the calculation gives 1.92 g cm⁻³. The total DFT energy (no corrections) comes out at -2.54 eV/atom.

abc: 5.5042 5.5042 5.5042
angles: 60.00 60.00 60.00
Closest atoms and distances in Å follow each position.
Positions (direct):
K (0.2500, 0.2500, 0.2500)  4 P 3.37, 4 Al 3.37
K (0.7500, 0.7500, 0.7500)  4 Al 3.37, 4 P 3.37
Al (0.0000, 0.0000, 0.0000)  8 K 3.37
P (0.5000, 0.5000, 0.5000)  8 K 3.37


Record 2
Material: ZrRe2Cl
Method: DFT, GGA-PBE
State: relaxed

Summary:
The crystal system is monoclinic. The value obtained for the raw formation energy is 288.2 meV/atom. As for the space group: Cm. The calculation puts the energy above the most stable polymorph in this dataset at 413 meV per atom. For the theoretical density, the calculation gives 11.16 g cm⁻³. The total DFT energy (no corrections) comes out at -8.53 eV/atom.

abc: 4.7713 4.7713 5.2908
angles: 72.79 72.79 40.50
Closest atoms and distances in Å follow each position.
Positions (direct):
Zr (0.5353, 0.5353, 0.4216)  3 Cl 2.55-2.63
Re (0.6952, 0.6952, 0.8239)  2 Re 2.38
Re (0.9931, 0.9931, 0.9377)  2 Re 2.38
Cl (0.2765, 0.2765, 0.3168)  3 Zr 2.55-2.63, 2 Re 2.84


Record 3
Material: Be3NiW
Method: DFT, GGA-PBE
State: relaxed

Summary:
The crystal system is cubic. As for the space group: Pm-3m. Its formation energy from the elements is 12.7 kcal/mol of atoms. The calculation puts the energy above the most stable polymorph in this dataset at 0 meV per atom. For the theoretical density, the calculation gives 8.13 g cm⁻³. The total DFT energy (no corrections) comes out at -5.43 eV/atom.

abc: 3.8043 3.8043 3.8043
angles: 90.00 90.00 90.00
Closest atoms and distances in Å follow each position.
Positions (direct):
W (0.5000, 0.5000, 0.5000)  12 Be 2.69
Be (0.0000, 0.0000, 0.5000)  2 Ni 1.90
Be (0.5000, 0.0000, 0.0000)  2 Ni 1.90
Be (0.0000, 0.5000, 0.0000)  2 Ni 1.90
Ni (0.0000, 0.0000, 0.0000)  6 Be 1.90


Record 4
Material: TaCrAu2
Method: DFT, GGA-PBE
State: relaxed

Summary:
The crystal system is monoclinic. As for the space group: Cm. Its formation energy from the elements is 3.4 kcal/mol of atoms. The calculation puts the energy above the most stable polymorph in this dataset at 65 meV per atom. For the theoretical density, the calculation gives 15.29 g cm⁻³. The total DFT energy (no corrections) comes out at -6.86 eV/atom.

abc: 4.9427 4.9427 4.9229
angles: 77.10 77.10 35.62
Closest atoms and distances in Å follow each position.
Positions (direct):
Cr (0.5061, 0.5061, 0.4975)  3 Ta 2.71-3.01, 7 Au 2.81-2.92, 2 Cr 3.02
Au (0.9959, 0.9959, 0.0096)  3 Ta 2.84-2.85, 4 Cr 2.86-2.92, 5 Au 2.87-3.02
Au (0.7573, 0.7573, 0.7384)  3 Cr 2.81-2.88, 4 Ta 2.86-2.93, 5 Au 2.87-3.02
Ta (0.2408, 0.2408, 0.2545)  3 Cr 2.71-3.01, 7 Au 2.84-2.93, 2 Ta 3.02


Record 5
Material: ErAl3Co
Method: DFT, GGA-PBE
State: relaxed

Summary:
The crystal system is orthorhombic. As for the space group: Pnma. Its formation energy from the elements is -12.4 kcal/mol of atoms. The calculation puts the energy above the most stable polymorph in this dataset at 0 meV per atom. For the theoretical density, the calculation gives 5.89 g cm⁻³. The total DFT energy (no corrections) comes out at -5.12 eV/atom.

abc: 4.0034 8.1459 10.6164
angles: 90.00 90.00 90.00
Closest atoms and distances in Å follow each position.
Positions (direct):
Al (0.7500, 0.1058, 0.2200)  2 Co 2.35-2.38
Al (0.2500, 0.3486, 0.2761)  2 Co 2.47, 1 Al 2.63
Al (0.2500, 0.5493, 0.0820)  3 Co 2.45-2.51, 1 Al 2.63
Al (0.2500, 0.3942, 0.7200)  2 Co 2.35-2.38
Al (0.7500, 0.9507, 0.5820)  3 Co 2.45-2.51, 1 Al 2.63
Al (0.2500, 0.8942, 0.7800)  2 Co 2.35-2.38
Al (0.7500, 0.6058, 0.2800)  2 Co 2.35-2.38
Al (0.7500, 0.6514, 0.7239)  2 Co 2.47, 1 Al 2.63
Al (0.2500, 0.0493, 0.4180)  3 Co 2.45-2.51, 1 Al 2.63
Al (0.2500, 0.8486, 0.2239)  2 Co 2.47, 1 Al 2.63
Al (0.7500, 0.1514, 0.7761)  2 Co 2.47, 1 Al 2.63
Al (0.7500, 0.4507, 0.9180)  3 Co 2.45-2.51, 1 Al 2.63
Co (0.7500, 0.8797, 0.3580)  7 Al 2.35-2.51
Co (0.2500, 0.6203, 0.8580)  7 Al 2.35-2.51
Co (0.7500, 0.3797, 0.1420)  7 Al 2.35-2.51
Co (0.2500, 0.1203, 0.6420)  7 Al 2.35-2.51
Er (0.7500, 0.8089, 0.0085)  2 Co 2.99, 10 Al 3.01-3.32
Er (0.2500, 0.1911, 0.9915)  2 Co 2.99, 10 Al 3.01-3.32
Er (0.2500, 0.6911, 0.5085)  2 Co 2.99, 10 Al 3.01-3.32
Er (0.7500, 0.3089, 0.4915)  2 Co 2.99, 10 Al 3.01-3.32


Record 6
Material: V2AgBr6
Method: DFT, GGA-PBE
State: relaxed

Summary:
The crystal system is monoclinic. The value obtained for the raw formation energy is -576.7 meV/atom. As for the space group: C2/c. The calculation puts the energy above the most stable polymorph in this dataset at 147 meV per atom. For the theoretical density, the calculation gives 3.87 g cm⁻³. The total DFT energy (no corrections) comes out at -4.04 eV/atom.

abc: 7.1464 9.2196 9.2196
angles: 83.97 81.24 81.24
Closest atoms and distances in Å follow each position.
Positions (direct):
V (0.7101, 0.7871, 0.6197)  4 Br 2.41-2.47
V (0.2101, 0.6197, 0.7871)  4 Br 2.41-2.47
V (0.2899, 0.2129, 0.3803)  4 Br 2.41-2.47
V (0.7899, 0.3803, 0.2129)  4 Br 2.41-2.47
Br (0.4088, 0.7170, 0.5660)  2 V 2.47
Br (0.8846, 0.8607, 0.3861)  1 V 2.41
Br (0.3846, 0.3861, 0.8607)  1 V 2.41
Br (0.6274, 0.9610, 0.8070)  1 V 2.43
Br (0.1154, 0.1393, 0.6139)  1 V 2.41
Br (0.3726, 0.0390, 0.1930)  1 V 2.43
Br (0.8726, 0.1930, 0.0390)  1 V 2.43
Br (0.0912, 0.4340, 0.2830)  2 V 2.47
Br (0.5912, 0.2830, 0.4340)  2 V 2.47
Br (0.6154, 0.6139, 0.1393)  1 V 2.41
Br (0.9088, 0.5660, 0.7170)  2 V 2.47
Br (0.1274, 0.8070, 0.9610)  1 V 2.43
Ag (0.7500, 0.8910, 0.1090)  6 Br 2.84-3.02
Ag (0.2500, 0.1090, 0.8910)  6 Br 2.84-3.02